BaTe2P: optimized geometry, PBE.

Results
Its uncorrected formation energy is -2.35 eV per formula unit. Its space group is Immm, No. 71. The value obtained for the energy is -3.99 eV/atom.

Unit cell a=6.1569 b=6.1569 c=6.1569 alpha=141.20 beta=121.54 gamma=72.40
Positions (direct):
1 Ba 0.0000 0.0000 0.0000
2 Te 0.3080 0.8080 0.5000
3 Te 0.6920 0.1920 0.5000
4 P 0.5000 0.5000 0.0000